1.
{
  "formula": "Sm6Ho2In",
  "functional": "PBE",
  "state": "optimized geometry",
  "lattice": [[10.665, -3.131, 0.000], [10.665, 3.131, 0.000], [-3.029, 0.000, 8.560]],
  "species": ["Sm", "Sm", "Sm", "Sm", "Sm", "Sm", "Sm", "Sm", "Sm", "Sm", "Sm", "Sm", "Ho", "Ho", "Ho", "Ho", "In", "In"],
  "frac_coords": [[0.003, 0.671, 0.085], [0.123, 0.771, 0.865], [0.229, 0.877, 0.635], [0.243, 0.537, 0.471], [0.329, 0.997, 0.415], [0.463, 0.757, 0.029], [0.537, 0.243, 0.971], [0.671, 0.003, 0.585], [0.757, 0.463, 0.529], [0.771, 0.123, 0.365], [0.877, 0.229, 0.135], [0.997, 0.329, 0.915], [0.109, 0.444, 0.695], [0.444, 0.109, 0.195], [0.556, 0.891, 0.805], [0.891, 0.556, 0.305], [0.330, 0.670, 0.250], [0.670, 0.330, 0.750]],
  "dos_at_fermi_per_ev_cell": 24.6
}

2.
{
  "formula": "Sm6Ho2In",
  "functional": "PBE",
  "state": "optimized geometry",
  "lattice": [[10.742, 0.000, 0.000], [0.000, 10.742, 0.000], [0.000, 0.000, 4.956]],
  "species": ["Sm", "Sm", "Sm", "Sm", "Sm", "Sm", "Sm", "Sm", "Sm", "Sm", "Sm", "Sm", "Ho", "Ho", "Ho", "Ho", "In", "In"],
  "frac_coords": [[0.001, 0.333, 0.000], [0.159, 0.159, 0.500], [0.167, 0.501, 0.500], [0.333, 0.001, 0.000], [0.341, 0.659, 0.000], [0.499, 0.833, 0.500], [0.501, 0.167, 0.500], [0.659, 0.341, 0.000], [0.667, 0.999, 0.000], [0.833, 0.499, 0.500], [0.841, 0.841, 0.500], [0.999, 0.667, 0.000], [0.162, 0.838, 0.500], [0.338, 0.338, 0.000], [0.662, 0.662, 0.000], [0.838, 0.162, 0.500], [0.000, 0.000, 0.000], [0.500, 0.500, 0.500]],
  "dos_at_fermi_per_ev_cell": 27.4
}

The structure with the greatest stability is 1.

1.
{
  "formula": "Sm6Ho3In",
  "functional": "PBE",
  "state": "optimized geometry",
  "lattice": [[10.611, 0.000, 0.000], [0.000, 11.903, 0.000], [0.000, 0.000, 5.219]],
  "species": ["Sm", "Sm", "Sm", "Sm", "Sm", "Sm", "Sm", "Sm", "Sm", "Sm", "Sm", "Sm", "Ho", "Ho", "Ho", "Ho", "Ho", "Ho", "In", "In"],
  "frac_coords": [[0.077, 0.249, 0.000], [0.175, 0.074, 0.500], [0.221, 0.381, 0.500], [0.279, 0.881, 0.000], [0.325, 0.574, 0.000], [0.423, 0.749, 0.500], [0.577, 0.251, 0.500], [0.675, 0.426, 0.000], [0.721, 0.119, 0.000], [0.779, 0.619, 0.500], [0.825, 0.926, 0.500], [0.923, 0.751, 0.000], [0.000, 0.500, 0.000], [0.115, 0.703, 0.500], [0.385, 0.203, 0.000], [0.500, 0.000, 0.500], [0.615, 0.797, 0.000], [0.885, 0.297, 0.500], [0.000, 0.000, 0.000], [0.500, 0.500, 0.500]],
  "dos_at_fermi_per_ev_cell": 26.5
}

2.
{
  "formula": "Sm6Ho3In",
  "functional": "PBE",
  "state": "optimized geometry",
  "lattice": [[12.876, 0.000, 0.000], [0.000, 3.522, 0.000], [-2.618, 0.000, 14.128]],
  "species": ["Sm", "Sm", "Sm", "Sm", "Sm", "Sm", "Sm", "Sm", "Sm", "Sm", "Sm", "Sm", "Ho", "Ho", "Ho", "Ho", "Ho", "Ho", "In", "In"],
  "frac_coords": [[0.010, 0.250, 0.309], [0.159, 0.250, 0.884], [0.252, 0.750, 0.304], [0.271, 0.750, 0.714], [0.311, 0.750, 0.076], [0.388, 0.250, 0.534], [0.612, 0.750, 0.466], [0.689, 0.250, 0.924], [0.729, 0.250, 0.286], [0.748, 0.250, 0.696], [0.841, 0.750, 0.116], [0.990, 0.750, 0.691], [0.079, 0.250, 0.097], [0.129, 0.750, 0.501], [0.428, 0.250, 0.894], [0.572, 0.750, 0.106], [0.871, 0.250, 0.499], [0.921, 0.750, 0.903], [0.468, 0.250, 0.273], [0.532, 0.750, 0.727]],
  "dos_at_fermi_per_ev_cell": 27.5
}

The structure with the greatest stability is 2.

1.
{
  "formula": "Sm3Ho3In2",
  "functional": "PBE",
  "state": "optimized geometry",
  "lattice": [[2.590, -5.932, 0.000], [2.590, 5.932, 0.000], [0.000, 0.000, 16.074]],
  "species": ["Sm", "Sm", "Sm", "Sm", "Sm", "Sm", "Ho", "Ho", "Ho", "Ho", "Ho", "Ho", "In", "In", "In", "In"],
  "frac_coords": [[0.040, 0.960, 0.604], [0.040, 0.960, 0.896], [0.262, 0.738, 0.750], [0.738, 0.262, 0.250], [0.960, 0.040, 0.104], [0.960, 0.040, 0.396], [0.359, 0.641, 0.535], [0.359, 0.641, 0.965], [0.459, 0.541, 0.250], [0.541, 0.459, 0.750], [0.641, 0.359, 0.035], [0.641, 0.359, 0.465], [0.233, 0.767, 0.137], [0.233, 0.767, 0.363], [0.767, 0.233, 0.637], [0.767, 0.233, 0.863]],
  "dos_at_fermi_per_ev_cell": 16.9
}

2.
{
  "formula": "Sm3Ho3In2",
  "functional": "PBE",
  "state": "optimized geometry",
  "lattice": [[4.863, 0.000, 0.000], [0.000, 4.876, 0.000], [0.000, 0.000, 9.802]],
  "species": ["Sm", "Sm", "Sm", "Ho", "Ho", "Ho", "In", "In"],
  "frac_coords": [[0.000, 0.000, 0.000], [0.000, 0.000, 0.500], [0.500, 0.500, 0.000], [0.500, 0.000, 0.251], [0.500, 0.000, 0.749], [0.500, 0.500, 0.500], [0.000, 0.500, 0.253], [0.000, 0.500, 0.747]],
  "dos_at_fermi_per_ev_cell": 12.8
}

The structure with the greatest stability is 2.

1.
{
  "formula": "Sm2HoIn3",
  "functional": "PBE",
  "state": "optimized geometry",
  "lattice": [[1.843, -14.612, 0.000], [1.843, 14.612, 0.000], [0.000, 0.000, 6.576]],
  "species": ["Sm", "Sm", "Sm", "Sm", "Ho", "Ho", "In", "In", "In", "In", "In", "In"],
  "frac_coords": [[0.005, 0.995, 0.750], [0.152, 0.848, 0.250], [0.848, 0.152, 0.750], [0.995, 0.005, 0.250], [0.331, 0.669, 0.250], [0.669, 0.331, 0.750], [0.256, 0.744, 0.750], [0.423, 0.577, 0.508], [0.423, 0.577, 0.992], [0.577, 0.423, 0.008], [0.577, 0.423, 0.492], [0.744, 0.256, 0.250]],
  "dos_at_fermi_per_ev_cell": 10.3
}

2.
{
  "formula": "Sm2HoIn3",
  "functional": "PBE",
  "state": "optimized geometry",
  "lattice": [[2.689, -8.074, 0.000], [2.689, 8.074, 0.000], [0.000, 0.000, 7.593]],
  "species": ["Sm", "Sm", "Sm", "Sm", "Ho", "Ho", "In", "In", "In", "In", "In", "In"],
  "frac_coords": [[0.000, 0.000, 0.000], [0.000, 0.000, 0.500], [0.335, 0.665, 0.000], [0.665, 0.335, 0.000], [0.333, 0.667, 0.500], [0.667, 0.333, 0.500], [0.169, 0.831, 0.256], [0.169, 0.831, 0.744], [0.500, 0.500, 0.256], [0.500, 0.500, 0.744], [0.831, 0.169, 0.256], [0.831, 0.169, 0.744]],
  "dos_at_fermi_per_ev_cell": 5.8
}

The structure with the greatest stability is 2.

1.
{
  "formula": "Sm3Ho2In2",
  "functional": "PBE",
  "state": "optimized geometry",
  "lattice": [[8.423, -1.750, 0.000], [8.423, 1.750, 0.000], [-3.719, 0.000, 7.080]],
  "species": ["Sm", "Sm", "Sm", "Ho", "Ho", "In", "In"],
  "frac_coords": [[0.000, 0.000, 0.000], [0.210, 0.210, 0.130], [0.790, 0.790, 0.870], [0.132, 0.132, 0.470], [0.868, 0.868, 0.530], [0.434, 0.434, 0.267], [0.566, 0.566, 0.733]],
  "dos_at_fermi_per_ev_cell": 8.5
}

2.
{
  "formula": "Sm3Ho2In2",
  "functional": "PBE",
  "state": "optimized geometry",
  "lattice": [[2.472, -11.957, 0.000], [2.472, 11.957, 0.000], [0.000, 0.000, 3.493]],
  "species": ["Sm", "Sm", "Sm", "Ho", "Ho", "In", "In"],
  "frac_coords": [[0.000, 0.000, 0.000], [0.142, 0.858, 0.000], [0.858, 0.142, 0.000], [0.287, 0.713, 0.500], [0.713, 0.287, 0.500], [0.429, 0.571, 0.500], [0.571, 0.429, 0.500]],
  "dos_at_fermi_per_ev_cell": 8.0
}

The structure with the greatest stability is 2.